[1]
CaTlBr2 | PBE | relaxed

Cell lengths 7.8619, 7.8619, 7.8619 Å; angles 90.00, 90.00, 90.00 degrees
Space group F-43m (No. 216)
Asymmetric unit:
Ca 0.0000 0.0000 0.0000 x4
Tl 0.2500 0.2500 0.2500 x4
Br 0.0000 0.0000 0.5000 x4
Br 0.2500 0.2500 0.7500 x4

Computed properties:
- E_form (uncorrected) (eV per atom) = -0.699
- ΔE to the lowest computed polymorph (meV/atom) = 639.4



[2]
LiGaNi | PBE | relaxed

Cell lengths 4.8132, 4.9620, 6.6867 Å; angles 95.31, 103.09, 92.33 degrees
Space group P-1 (No. 2)
Asymmetric unit:
Li 0.2331 0.2067 0.0086 x2
Li 0.2601 0.6999 0.9829 x2
Ga 0.0984 0.6376 0.3387 x2
Ga 0.4162 0.0046 0.6836 x2
Ni 0.0977 0.1481 0.3605 x2
Ni 0.4128 0.5060 0.6710 x2

Computed properties:
- DFT formation energy (eV/atom) = -0.275



Volume per entry: 485.93 154.57 Å³/cell